(1)
Computed, not measured: InTc2As after structural relaxation at the PBE level of DFT.

## Properties
raw total energy: -6.91 eV/atom
excess energy over the best structure of this formula in the dataset: 84 meV/atom

Cell: 3.0995 3.0995 6.6990 Å, 90.00 90.00 90.00°
Closest atoms and distances in Å follow each position.
Atoms (fractional coordinates):
In: 0.0000 0.0000 0.0000  8 Tc 2.92, 4 In 3.10
Tc: 0.5000 0.5000 0.2887  4 As 2.61, 1 Tc 2.83
Tc: 0.5000 0.5000 0.7113  4 As 2.61, 1 Tc 2.83
As: 0.0000 0.0000 0.5000  8 Tc 2.61


(2)
Computed, not measured: LaCdCu2I after structural relaxation at the PBE level of DFT.

## Properties
raw total energy: -2.94 eV/atom
excess energy over the best structure of this formula in the dataset: 0 meV/atom
formation energy (no corrections): 17 kJ/mol of atoms

Cell: 4.8993 4.8993 6.0641 Å, 90.00 90.00 90.00°
Closest atoms and distances in Å follow each position.
Atoms (fractional coordinates):
La: 0.0000 0.0000 0.0000  2 Cd 3.03
Cd: 0.0000 0.0000 0.5000  4 Cu 2.45
Cu: 0.0000 0.5000 0.5000  2 Cd 2.45
Cu: 0.5000 0.0000 0.5000  2 Cd 2.45
I: 0.5000 0.5000 0.0000  4 La 3.46


What did the second record say?
Computed, not measured: LaCdCu2I after structural relaxation at the PBE level of DFT.

## Properties
raw total energy: -2.94 eV/atom
excess energy over the best structure of this formula in the dataset: 0 meV/atom
formation energy (no corrections): 17 kJ/mol of atoms

Cell: 4.8993 4.8993 6.0641 Å, 90.00 90.00 90.00°
Closest atoms and distances in Å follow each position.
Atoms (fractional coordinates):
La: 0.0000 0.0000 0.0000  2 Cd 3.03
Cd: 0.0000 0.0000 0.5000  4 Cu 2.45
Cu: 0.0000 0.5000 0.5000  2 Cd 2.45
Cu: 0.5000 0.0000 0.5000  2 Cd 2.45
I: 0.5000 0.5000 0.0000  4 La 3.46


Which of these has the lowest excess energy over the best structure of this formula in the dataset?
LaCdCu2I


Among the records above, which one has the highest raw total energy?
LaCdCu2I


Which of these has the lowest excess energy over the best structure of this formula in the dataset?
LaCdCu2I